Entry 1:
Material: Rb2CaNbO4
Method: DFT, PBE-GGA
State: relaxed

abc: 6.3459 6.3459 8.2172
angles: 90.00 90.00 90.00
Space group I-4 (No. 82)
Asymmetric unit:
Rb (0.0000, 0.0000, 0.0000)
Rb (0.0000, 0.5000, 0.2500)
Ca (0.0000, 0.5000, 0.7500)
Nb (0.0000, 0.0000, 0.5000)
O (0.1416, 0.7593, 0.5970)

Computed properties:
- Formation energy without anion corrections: -211 kJ/mol of atoms



Entry 2:
Material: Rb2CaNbO
Method: DFT, PBE-GGA
State: relaxed

abc: 7.7523 7.7523 3.9527
angles: 90.00 90.00 90.00
Space group P4/mmm (No. 123)
Asymmetric unit:
Rb (0.0000, 0.5000, 0.0000)
Ca (0.0000, 0.0000, 0.5000)
Nb (0.5000, 0.5000, 0.0000)
O (0.5000, 0.5000, 0.5000)

Computed properties:
- Formation energy without anion corrections: 1 kJ/mol of atoms